First-principles (PBE-GGA) data for crystalline TlSb3S5 at its relaxed geometry, as listed in Alexandria.

mass density	4.8	Mg/m³
symmetry	No. 14
D(E_F)	0.00	states/eV per cell
formation energy (no corrections)	-288	meV/atom

Cell: 16.0353 7.4936 9.1660 Å, 65.82 90.00 90.00°
With the nearest neighbours (Å) after each atom.
Fractional positions:
Tl 0.7401 0.0375 0.4653  5 S 3.09-3.42
Tl 0.2401 0.9625 0.0347  5 S 3.09-3.42
Tl 0.2599 0.9625 0.5347  5 S 3.09-3.42
Tl 0.7599 0.0375 0.9653  5 S 3.09-3.42
Sb 0.8711 0.5027 0.0651  3 S 2.46-2.59
Sb 0.3711 0.4973 0.4349  3 S 2.46-2.59
Sb 0.1289 0.4973 0.9349  3 S 2.46-2.59
Sb 0.6289 0.5027 0.5651  3 S 2.46-2.59
Sb 0.5013 0.9916 0.2144  3 S 2.46-2.69
Sb 0.0013 0.0084 0.2856  3 S 2.46-2.69
Sb 0.4987 0.0084 0.7856  3 S 2.46-2.69
Sb 0.9987 0.9916 0.7144  3 S 2.46-2.69
Sb 0.5975 0.5381 0.1125  3 S 2.49-2.60
Sb 0.0975 0.4619 0.3875  3 S 2.49-2.60
Sb 0.4025 0.4619 0.8875  3 S 2.49-2.60
Sb 0.9025 0.5381 0.6125  3 S 2.49-2.60
S 0.7299 0.3376 0.1139  2 Sb 2.53-2.60
S 0.2299 0.6624 0.3861  2 Sb 2.53-2.60
S 0.2701 0.6624 0.8861  2 Sb 2.53-2.60
S 0.7701 0.3376 0.6139  2 Sb 2.53-2.60
S 0.8717 0.7917 0.3410  2 Sb 2.49-2.56
S 0.3717 0.2083 0.1590  2 Sb 2.49-2.56
S 0.1283 0.2083 0.6590  2 Sb 2.49-2.56
S 0.6283 0.7917 0.8410  2 Sb 2.49-2.56
S 0.5578 0.2542 0.4995  2 Sb 2.46-2.69
S 0.0578 0.7458 0.0005  2 Sb 2.46-2.69
S 0.4422 0.7458 0.5005  2 Sb 2.46-2.69
S 0.9422 0.2542 0.9995  2 Sb 2.46-2.69
S 0.9405 0.2248 0.3996  1 Sb 2.46
S 0.4405 0.7752 0.1004  1 Sb 2.46
S 0.0595 0.7752 0.6004  1 Sb 2.46
S 0.5595 0.2248 0.8996  1 Sb 2.46
S 0.8432 0.7165 0.7651  2 Sb 2.49-2.59
S 0.3432 0.2835 0.7349  2 Sb 2.49-2.59
S 0.1568 0.2835 0.2349  2 Sb 2.49-2.59
S 0.6568 0.7165 0.2651  2 Sb 2.49-2.59